{
  "formula": "Tb2PuAl6",
  "functional": "PBE",
  "state": "optimized geometry",
  "lattice_angstrom": [[7.944, 0.000, 0.000], [-3.972, 6.880, 0.000], [0.000, 0.000, 3.468]],
  "species": ["Tb", "Tb", "Pu", "Al", "Al", "Al", "Al", "Al", "Al"],
  "fractional_positions": [[0.333, 0.667, 0.000], [0.667, 0.333, 0.000], [0.000, 0.000, 0.000], [0.000, 0.333, 0.500], [0.000, 0.667, 0.500], [0.333, 0.000, 0.500], [0.333, 0.333, 0.500], [0.667, 0.000, 0.500], [0.667, 0.667, 0.500]],
  "vol_a3_per_cell": 190,
  "ef_kj_per_mol_atoms": -40.6
}